1.
Here is a relaxed structure of Tb3Rh4Pb2 from Alexandria. Energies are from GGA-PBE.

The structure in CIF format:
```
data_Tb3Rh4Pb2
_chemical_formula_sum 'Tb6 Rh8 Pb4'
_space_group_name_H-M_alt 'P 1'
_space_group_IT_number 1
_space_group_name_Hall 'P 1'
_cell_length_a 5.689
_cell_length_b 8.594
_cell_length_c 8.594
_cell_angle_alpha 77.02
_cell_angle_beta 80.61
_cell_angle_gamma 80.61
loop_
_atom_site_label
_atom_site_type_symbol
_atom_site_fract_x
_atom_site_fract_y
_atom_site_fract_z
Tb1 Tb 0.873 0.997 0.213
Tb2 Tb 0.627 0.787 0.003
Tb3 Tb 0.127 0.003 0.787
Tb4 Tb 0.373 0.213 0.997
Tb5 Tb 0.250 0.623 0.377
Tb6 Tb 0.750 0.377 0.623
Rh1 Rh 0.361 0.938 0.263
Rh2 Rh 0.139 0.737 0.062
Rh3 Rh 0.639 0.062 0.737
Rh4 Rh 0.861 0.263 0.938
Rh5 Rh 0.972 0.158 0.439
Rh6 Rh 0.528 0.561 0.842
Rh7 Rh 0.028 0.842 0.561
Rh8 Rh 0.472 0.439 0.158
Pb1 Pb 0.438 0.199 0.439
Pb2 Pb 0.062 0.561 0.801
Pb3 Pb 0.562 0.801 0.561
Pb4 Pb 0.938 0.439 0.199
```

2.
Here is a relaxed structure of TbRh2Pb2 from Alexandria. Energies are from GGA-PBE.

The structure in CIF format:
```
data_TbRh2Pb2
_chemical_formula_sum 'Tb2 Rh4 Pb4'
_space_group_name_H-M_alt 'P 1'
_space_group_IT_number 1
_space_group_name_Hall 'P 1'
_cell_length_a 4.750
_cell_length_b 4.582
_cell_length_c 10.349
_cell_angle_alpha 89.98
_cell_angle_beta 90.00
_cell_angle_gamma 90.00
loop_
_atom_site_label
_atom_site_type_symbol
_atom_site_fract_x
_atom_site_fract_y
_atom_site_fract_z
Tb1 Tb 0.750 0.250 0.674
Tb2 Tb 0.250 0.750 0.326
Rh1 Rh 0.250 0.250 0.500
Rh2 Rh 0.750 0.750 0.174
Rh3 Rh 0.250 0.250 0.826
Rh4 Rh 0.750 0.750 0.500
Pb1 Pb 0.750 0.250 0.997
Pb2 Pb 0.250 0.750 0.671
Pb3 Pb 0.250 0.750 0.003
Pb4 Pb 0.750 0.250 0.329
```

- Energy above the most stable polymorph in this dataset: 0.0 meV per atom

3.
Here is a relaxed structure of Tb3Rh2Pb3 from Alexandria. Energies are from GGA-PBE.

The structure in CIF format:
```
data_Tb3Rh2Pb3
_chemical_formula_sum 'Tb6 Rh4 Pb6'
_space_group_name_H-M_alt 'P 1'
_space_group_IT_number 1
_space_group_name_Hall 'P 1'
_cell_length_a 4.714
_cell_length_b 6.050
_cell_length_c 14.884
_cell_angle_alpha 90.00
_cell_angle_beta 90.00
_cell_angle_gamma 112.93
loop_
_atom_site_label
_atom_site_type_symbol
_atom_site_fract_x
_atom_site_fract_y
_atom_site_fract_z
Tb1 Tb 0.933 0.865 0.387
Tb2 Tb 0.067 0.135 0.887
Tb3 Tb 0.933 0.865 0.113
Tb4 Tb 0.067 0.135 0.613
Tb5 Tb 0.658 0.316 0.250
Tb6 Tb 0.342 0.684 0.750
Rh1 Rh 0.808 0.617 0.883
Rh2 Rh 0.192 0.383 0.383
Rh3 Rh 0.808 0.617 0.617
Rh4 Rh 0.192 0.383 0.117
Pb1 Pb 0.638 0.276 0.470
Pb2 Pb 0.362 0.724 0.970
Pb3 Pb 0.638 0.276 0.030
Pb4 Pb 0.362 0.724 0.530
Pb5 Pb 0.367 0.733 0.250
Pb6 Pb 0.633 0.267 0.750
```

4.
Here is a relaxed structure of Tb3RhPb2 from Alexandria. Energies are from GGA-PBE.

The structure in CIF format:
```
data_Tb3RhPb2
_chemical_formula_sum 'Tb6 Rh2 Pb4'
_space_group_name_H-M_alt 'P 1'
_space_group_IT_number 1
_space_group_name_Hall 'P 1'
_cell_length_a 6.240
_cell_length_b 7.681
_cell_length_c 7.676
_cell_angle_alpha 104.43
_cell_angle_beta 113.99
_cell_angle_gamma 90.00
loop_
_atom_site_label
_atom_site_type_symbol
_atom_site_fract_x
_atom_site_fract_y
_atom_site_fract_z
Tb1 Tb 0.311 0.250 0.000
Tb2 Tb 0.689 0.750 0.000
Tb3 Tb 0.064 0.125 0.316
Tb4 Tb 0.749 0.375 0.684
Tb5 Tb 0.251 0.625 0.316
Tb6 Tb 0.936 0.875 0.684
Rh1 Rh 0.150 0.750 0.000
Rh2 Rh 0.850 0.250 0.000
Pb1 Pb 0.761 0.518 0.309
Pb2 Pb 0.548 0.018 0.309
Pb3 Pb 0.452 0.982 0.691
Pb4 Pb 0.239 0.482 0.691
```

- Energy above the most stable polymorph in this dataset: 122.1 meV per atom

5.
Here is a relaxed structure of Tb2Rh3Pb2 from Alexandria. Energies are from GGA-PBE.

The structure in CIF format:
```
data_Tb2Rh3Pb2
_chemical_formula_sum 'Tb4 Rh6 Pb4'
_space_group_name_H-M_alt 'P 1'
_space_group_IT_number 1
_space_group_name_Hall 'P 1'
_cell_length_a 7.427
_cell_length_b 7.427
_cell_length_c 7.427
_cell_angle_alpha 109.47
_cell_angle_beta 109.47
_cell_angle_gamma 109.47
loop_
_atom_site_label
_atom_site_type_symbol
_atom_site_fract_x
_atom_site_fract_y
_atom_site_fract_z
Tb1 Tb 0.000 0.000 0.462
Tb2 Tb 0.500 0.462 0.500
Tb3 Tb 0.538 0.038 0.038
Tb4 Tb 0.962 0.500 0.000
Rh1 Rh 0.755 0.750 0.005
Rh2 Rh 0.745 0.250 0.495
Rh3 Rh 0.995 0.245 0.250
Rh4 Rh 0.505 0.255 0.750
Rh5 Rh 0.250 0.005 0.255
Rh6 Rh 0.750 0.495 0.245
Pb1 Pb 0.000 0.000 0.882
Pb2 Pb 0.500 0.882 0.500
Pb3 Pb 0.118 0.618 0.618
Pb4 Pb 0.382 0.500 0.000
```

6.
Here is a relaxed structure of TbRhPb2 from Alexandria. Energies are from GGA-PBE.

The structure in CIF format:
```
data_TbRhPb2
_chemical_formula_sum 'Tb1 Rh1 Pb2'
_space_group_name_H-M_alt 'P 1'
_space_group_IT_number 1
_space_group_name_Hall 'P 1'
_cell_length_a 4.649
_cell_length_b 5.779
_cell_length_c 4.660
_cell_angle_alpha 66.12
_cell_angle_beta 60.07
_cell_angle_gamma 66.28
loop_
_atom_site_label
_atom_site_type_symbol
_atom_site_fract_x
_atom_site_fract_y
_atom_site_fract_z
Pb1 Pb 0.980 0.060 0.980
Pb2 Pb 0.520 0.440 0.520
Rh1 Rh 0.250 0.250 0.250
Tb1 Tb 0.750 0.750 0.750
```

7.
Here is a relaxed structure of TbRh5Pb from Alexandria. Energies are from GGA-PBE.

The structure in CIF format:
```
data_TbRh5Pb
_chemical_formula_sum 'Tb4 Rh20 Pb4'
_space_group_name_H-M_alt 'P 1'
_space_group_IT_number 1
_space_group_name_Hall 'P 1'
_cell_length_a 5.248
_cell_length_b 8.594
_cell_length_c 10.990
_cell_angle_alpha 90.00
_cell_angle_beta 90.00
_cell_angle_gamma 90.00
loop_
_atom_site_label
_atom_site_type_symbol
_atom_site_fract_x
_atom_site_fract_y
_atom_site_fract_z
Tb1 Tb 0.250 0.252 0.945
Tb2 Tb 0.750 0.248 0.445
Tb3 Tb 0.250 0.752 0.555
Tb4 Tb 0.750 0.748 0.055
Rh1 Rh 0.250 0.605 0.021
Rh2 Rh 0.750 0.895 0.521
Rh3 Rh 0.250 0.105 0.479
Rh4 Rh 0.750 0.395 0.979
Rh5 Rh 0.750 0.317 0.748
Rh6 Rh 0.250 0.183 0.248
Rh7 Rh 0.750 0.817 0.752
Rh8 Rh 0.250 0.683 0.252
Rh9 Rh 0.250 0.941 0.096
Rh10 Rh 0.750 0.559 0.596
Rh11 Rh 0.250 0.441 0.404
Rh12 Rh 0.750 0.059 0.904
Rh13 Rh 0.999 0.430 0.186
Rh14 Rh 0.001 0.070 0.686
Rh15 Rh 0.501 0.930 0.314
Rh16 Rh 0.499 0.570 0.814
Rh17 Rh 0.001 0.570 0.814
Rh18 Rh 0.999 0.930 0.314
Rh19 Rh 0.499 0.070 0.686
Rh20 Rh 0.501 0.430 0.186
Pb1 Pb 0.250 0.874 0.857
Pb2 Pb 0.750 0.626 0.357
Pb3 Pb 0.250 0.374 0.643
Pb4 Pb 0.750 0.126 0.143
```

8.
Here is a relaxed structure of Tb3RhPb2 from Alexandria. Energies are from GGA-PBE.

The structure in CIF format:
```
data_Tb3RhPb2
_chemical_formula_sum 'Tb12 Rh4 Pb8'
_space_group_name_H-M_alt 'P 1'
_space_group_IT_number 1
_space_group_name_Hall 'P 1'
_cell_length_a 4.406
_cell_length_b 11.815
_cell_length_c 12.610
_cell_angle_alpha 90.00
_cell_angle_beta 90.00
_cell_angle_gamma 90.00
loop_
_atom_site_label
_atom_site_type_symbol
_atom_site_fract_x
_atom_site_fract_y
_atom_site_fract_z
Tb1 Tb 0.250 0.368 0.053
Tb2 Tb 0.750 0.632 0.947
Tb3 Tb 0.750 0.868 0.447
Tb4 Tb 0.250 0.132 0.553
Tb5 Tb 0.250 0.712 0.246
Tb6 Tb 0.750 0.288 0.754
Tb7 Tb 0.750 0.212 0.254
Tb8 Tb 0.250 0.788 0.746
Tb9 Tb 0.250 0.459 0.379
Tb10 Tb 0.750 0.541 0.621
Tb11 Tb 0.750 0.959 0.121
Tb12 Tb 0.250 0.041 0.879
Rh1 Rh 0.250 0.132 0.127
Rh2 Rh 0.750 0.868 0.873
Rh3 Rh 0.750 0.632 0.373
Rh4 Rh 0.250 0.368 0.627
Pb1 Pb 0.250 0.693 0.510
Pb2 Pb 0.750 0.307 0.490
Pb3 Pb 0.750 0.193 0.990
Pb4 Pb 0.250 0.807 0.010
Pb5 Pb 0.250 0.001 0.316
Pb6 Pb 0.750 0.999 0.684
Pb7 Pb 0.750 0.501 0.184
Pb8 Pb 0.250 0.499 0.816
```

- Energy above the most stable polymorph in this dataset: 0.0 meV per atom

9.
Here is a relaxed structure of TbRhPb from Alexandria. Energies are from GGA-PBE.

The structure in CIF format:
```
data_TbRhPb
_chemical_formula_sum 'Tb1 Rh1 Pb1'
_space_group_name_H-M_alt 'P 1'
_space_group_IT_number 1
_space_group_name_Hall 'P 1'
_cell_length_a 3.440
_cell_length_b 4.767
_cell_length_c 4.767
_cell_angle_alpha 120.00
_cell_angle_beta 90.00
_cell_angle_gamma 90.00
loop_
_atom_site_label
_atom_site_type_symbol
_atom_site_fract_x
_atom_site_fract_y
_atom_site_fract_z
Pb1 Pb 0.167 0.333 0.667
Rh1 Rh 0.167 0.000 0.000
Tb1 Tb 0.666 0.667 0.333
```

10.
Here is a relaxed structure of Tb2RhPb from Alexandria. Energies are from GGA-PBE.

The structure in CIF format:
```
data_Tb2RhPb
_chemical_formula_sum 'Tb2 Rh1 Pb1'
_space_group_name_H-M_alt 'P 1'
_space_group_IT_number 1
_space_group_name_Hall 'P 1'
_cell_length_a 3.497
_cell_length_b 3.497
_cell_length_c 8.050
_cell_angle_alpha 90.00
_cell_angle_beta 90.00
_cell_angle_gamma 90.00
loop_
_atom_site_label
_atom_site_type_symbol
_atom_site_fract_x
_atom_site_fract_y
_atom_site_fract_z
Pb1 Pb 0.500 0.500 0.500
Rh1 Rh 0.500 0.500 0.000
Tb1 Tb 0.000 0.000 0.793
Tb2 Tb 0.000 0.000 0.207
```

- Energy above the most stable polymorph in this dataset: 0.0 meV per atom

| no. | ΔE_f (eV per atom) |
| --- | --- |
| 1 | -0.47 |
| 2 | -0.43 |
| 3 | -0.57 |
| 4 | -0.50 |
| 5 | -0.51 |
| 6 | -0.30 |
| 7 | -0.30 |
| 8 | -0.62 |
| 9 | -0.51 |
| 10 | -0.68 |